An optimized crystal structure of MnCoRu2, computed with PBE.

Values from the calculation:
- Energy above the lowest structure with this stoichiometry: 29 meV/atom
- Formation energy: 0.106 eV/atom

a b c (Å): 3.7304 3.7304 7.2051
angles (deg): 90.00 90.00 90.00
Last column: nearest neighbours and their distance in Å.
Space group I4/mmm (No. 139)
Inequivalent atoms, fractional coordinates:
Mn (0.0000, 0.0000, 0.0000) x2  8 Ru 2.59, 4 Co 2.64
Co (0.0000, 0.0000, 0.5000) x2  8 Ru 2.59, 4 Mn 2.64
Ru (0.0000, 0.5000, 0.2500) x4  4 Mn 2.59, 4 Co 2.59, 4 Ru 2.64